[1]
# TaMo5

A crystal of TaMo5 relaxed with PBEsol (meta-GGA SCAN, Alexandria).

abc: 9.9617 3.1464 6.3011
angles: 90.00 108.45 90.00
With the nearest neighbours (Å) after each atom.
Positions (direct):
Ta: 0.0000 0.0000 0.0000  8 Mo 2.74-2.75
Ta: 0.5000 0.5000 0.0000  8 Mo 2.74-2.75
Mo: 0.0000 0.0000 0.5000  8 Mo 2.72-2.73
Mo: 0.1677 0.5000 0.8309  6 Mo 2.71-2.74, 2 Ta 2.74
Mo: 0.1691 0.5000 0.3371  6 Mo 2.68-2.73, 2 Ta 2.75
Mo: 0.3309 0.0000 0.6629  6 Mo 2.68-2.73, 2 Ta 2.75
Mo: 0.3323 0.0000 0.1691  6 Mo 2.71-2.74, 2 Ta 2.74
Mo: 0.5000 0.5000 0.5000  8 Mo 2.72-2.73
Mo: 0.6677 0.0000 0.8309  6 Mo 2.71-2.74, 2 Ta 2.74
Mo: 0.6691 0.0000 0.3371  6 Mo 2.68-2.73, 2 Ta 2.75
Mo: 0.8309 0.5000 0.6629  6 Mo 2.68-2.73, 2 Ta 2.75
Mo: 0.8323 0.5000 0.1691  6 Mo 2.71-2.74, 2 Ta 2.74

- E above lowest polymorph: 0.000 eV/atom
- Total magnetization: 0.0 μB per formula unit
- DOS at the Fermi energy: 5.2 states/eV/cell
- Energy of formation: -0.10 eV/atom

---

[2]
# LiLa2Hg

A crystal of LiLa2Hg relaxed with PBEsol (meta-GGA SCAN, Alexandria).

abc: 3.5420 4.5435 6.9781
angles: 90.00 90.00 90.00
With the nearest neighbours (Å) after each atom.
Positions (direct):
Li: 0.0000 0.0000 0.0000  8 La 3.46, 2 Hg 3.49, 2 Li 3.54
La: 0.5000 0.5000 0.2753  1 La 3.14, 4 Hg 3.28, 4 Li 3.46
La: 0.5000 0.5000 0.7247  1 La 3.14, 4 Hg 3.28, 4 Li 3.46
Hg: 0.0000 0.0000 0.5000  8 La 3.28, 2 Li 3.49, 2 Hg 3.54

- Total magnetization: 0.1 μB per formula unit
- DOS at the Fermi energy: 3.4 states/eV/cell
- Energy of formation: -0.33 eV/atom

---

[3]
# NaHoP2O7

A crystal of NaHoP2O7 relaxed with PBEsol (meta-GGA SCAN, Alexandria).

abc: 8.6547 5.3820 13.9530
angles: 90.00 109.99 90.00
With the nearest neighbours (Å) after each atom.
Positions (direct):
Na: 0.0543 0.2224 0.3348  6 O 2.43-2.62
Na: 0.0543 0.2776 0.8348  6 O 2.43-2.62
Na: 0.9457 0.7224 0.1652  6 O 2.43-2.62
Na: 0.9457 0.7776 0.6652  6 O 2.43-2.62
Ho: 0.2471 0.2347 0.6473  6 O 2.16-2.26
Ho: 0.2471 0.2653 0.1473  6 O 2.16-2.26
Ho: 0.7529 0.7347 0.8527  6 O 2.16-2.26
Ho: 0.7529 0.7653 0.3527  6 O 2.16-2.26
P: 0.1866 0.7159 0.4767  4 O 1.52-1.62
P: 0.1866 0.7841 0.9767  4 O 1.52-1.62
P: 0.3151 0.7452 0.3125  4 O 1.51-1.61
P: 0.3151 0.7548 0.8125  4 O 1.51-1.61
P: 0.6849 0.2452 0.1875  4 O 1.51-1.61
P: 0.6849 0.2548 0.6875  4 O 1.51-1.61
P: 0.8134 0.2159 0.0233  4 O 1.52-1.62
P: 0.8134 0.2841 0.5233  4 O 1.52-1.62
O: 0.0277 0.7038 0.8933  1 P 1.53
O: 0.0277 0.7962 0.3933  1 P 1.53
O: 0.1879 0.0633 0.9986  1 P 1.53
O: 0.1879 0.4367 0.4986  1 P 1.53
O: 0.2173 0.5298 0.7549  1 P 1.54
O: 0.2173 0.9702 0.2549  1 P 1.54
O: 0.2183 0.5055 0.2732  1 P 1.53
O: 0.2183 0.9945 0.7732  1 P 1.53
O: 0.2297 0.6286 0.0728  1 P 1.52
O: 0.2297 0.8714 0.5728  1 P 1.52
O: 0.3316 0.7273 0.9308  2 P 1.61-1.62
O: 0.3316 0.7727 0.4308  2 P 1.61-1.62
O: 0.4900 0.7362 0.3130  1 P 1.51
O: 0.4900 0.7638 0.8130  1 P 1.51
O: 0.5100 0.2362 0.1870  1 P 1.51
O: 0.5100 0.2638 0.6870  1 P 1.51
O: 0.6684 0.2273 0.5692  2 P 1.61-1.62
O: 0.6684 0.2727 0.0692  2 P 1.61-1.62
O: 0.7703 0.1286 0.4272  1 P 1.52
O: 0.7703 0.3714 0.9272  1 P 1.52
O: 0.7817 0.0055 0.2268  1 P 1.53
O: 0.7817 0.4945 0.7268  1 P 1.53
O: 0.7827 0.0298 0.7451  1 P 1.54
O: 0.7827 0.4702 0.2451  1 P 1.54
O: 0.8121 0.5633 0.5014  1 P 1.53
O: 0.8121 0.9367 0.0014  1 P 1.53
O: 0.9723 0.2038 0.6067  1 P 1.53
O: 0.9723 0.2962 0.1067  1 P 1.53

- Total magnetization: 0.0 μB per formula unit
- DOS at the Fermi energy: 0.0 states/eV/cell
- Formation energy without anion corrections: -2.94 eV per atom

---

[4]
# SN

A crystal of SN relaxed with PBEsol (meta-GGA SCAN, Alexandria).

abc: 3.7759 3.0879 7.9755
angles: 90.00 98.91 90.00
With the nearest neighbours (Å) after each atom.
Positions (direct):
S: 0.2225 0.0000 0.0755  1 S 1.91
S: 0.7775 0.0000 0.9245  1 S 1.91
N: 0.0985 0.4824 0.5601  1 N 1.12
N: 0.9015 0.4824 0.4399  1 N 1.12

- Total magnetization: 0.0 μB per formula unit
- DOS at the Fermi energy: 0.7 states/eV/cell
- Formation energy without anion corrections: 0.16 eV per atom

---

[5]
# ScHgWC2

A crystal of ScHgWC2 relaxed with PBEsol (meta-GGA SCAN, Alexandria).

abc: 4.1266 4.1266 5.1041
angles: 90.00 90.00 90.00
With the nearest neighbours (Å) after each atom.
Positions (direct):
Sc: 0.0000 0.0000 0.0000  4 C 2.06
Hg: 0.5000 0.5000 0.5000  4 W 2.92
W: 0.0000 0.0000 0.5000  2 Sc 2.55
C: 0.0000 0.5000 0.0000  2 Sc 2.06
C: 0.5000 0.0000 0.0000  2 Sc 2.06

- Total magnetization: 0.9 μB per formula unit
- DOS at the Fermi energy: 3.6 states/eV/cell
- Energy of formation: 2.61 eV/atom

---

[6]
# Zr2ScCu

A crystal of Zr2ScCu relaxed with PBEsol (meta-GGA SCAN, Alexandria).

abc: 3.2274 4.7546 10.3150
angles: 90.00 90.00 90.00
With the nearest neighbours (Å) after each atom.
Positions (direct):
Zr: 0.0000 0.0000 0.2143  2 Cu 2.74, 4 Zr 2.97
Zr: 0.0000 0.0000 0.7857  2 Cu 2.74, 4 Zr 2.97
Zr: 0.5000 0.5000 0.2857  2 Cu 2.74, 4 Zr 2.97
Zr: 0.5000 0.5000 0.7143  2 Cu 2.74, 4 Zr 2.97
Sc: 0.0000 0.5000 0.0000  4 Cu 2.87
Sc: 0.5000 0.0000 0.5000  4 Cu 2.87
Cu: 0.0000 0.5000 0.5000  4 Zr 2.74, 4 Sc 2.87
Cu: 0.5000 0.0000 0.0000  4 Zr 2.74, 4 Sc 2.87

- E above lowest polymorph: 0.023 eV/atom
- Total magnetization: 0.0 μB per formula unit
- DOS at the Fermi energy: 6.8 states/eV/cell
- Energy of formation: -0.09 eV/atom

---

[7]
# BaCo3Pt

A crystal of BaCo3Pt relaxed with PBEsol (meta-GGA SCAN, Alexandria).

abc: 4.7071 4.7071 4.7071
angles: 90.00 90.00 90.00
With the nearest neighbours (Å) after each atom.
Positions (direct):
Ba: 0.0000 0.0000 0.0000  12 Co 3.33
Co: 0.0000 0.5000 0.5000  2 Pt 2.35
Co: 0.5000 0.0000 0.5000  2 Pt 2.35
Co: 0.5000 0.5000 0.0000  2 Pt 2.35
Pt: 0.5000 0.5000 0.5000  6 Co 2.35

- Total magnetization: 6.5 μB per formula unit
- DOS at the Fermi energy: 5.0 states/eV/cell
- Energy of formation: 0.41 eV/atom

---

[8]
# Tc7Os

A crystal of Tc7Os relaxed with PBEsol (meta-GGA SCAN, Alexandria).

abc: 5.4122 5.4122 5.4122
angles: 60.00 60.00 60.00
With the nearest neighbours (Å) after each atom.
Positions (direct):
Tc: 0.0000 0.0000 0.0000  12 Tc 2.71
Tc: 0.0000 0.0000 0.5000  10 Tc 2.71, 2 Os 2.71
Tc: 0.0000 0.5000 0.0000  10 Tc 2.71, 2 Os 2.71
Tc: 0.0000 0.5000 0.5000  10 Tc 2.71, 2 Os 2.71
Tc: 0.5000 0.0000 0.0000  10 Tc 2.71, 2 Os 2.71
Tc: 0.5000 0.0000 0.5000  10 Tc 2.71, 2 Os 2.71
Tc: 0.5000 0.5000 0.0000  10 Tc 2.71, 2 Os 2.71
Os: 0.5000 0.5000 0.5000  12 Tc 2.71

- Total magnetization: 0.0 μB per formula unit
- DOS at the Fermi energy: 7.7 states/eV/cell
- Energy of formation: 0.05 eV/atom

---

[9]
# BaTl3

A crystal of BaTl3 relaxed with PBEsol (meta-GGA SCAN, Alexandria).

abc: 4.0192 4.0192 7.7705
angles: 90.00 90.00 90.00
With the nearest neighbours (Å) after each atom.
Positions (direct):
Ba: 0.0000 0.0000 0.0000  10 Tl 3.63-3.89, 4 Ba 4.02
Tl: 0.0000 0.0000 0.5000  8 Tl 3.27
Tl: 0.5000 0.5000 0.2907  5 Tl 3.25-3.27, 4 Ba 3.63
Tl: 0.5000 0.5000 0.7093  5 Tl 3.25-3.27, 4 Ba 3.63

- Total magnetization: 0.0 μB per formula unit
- DOS at the Fermi energy: 2.0 states/eV/cell
- Energy of formation: -0.33 eV/atom

---

[10]
# CrBrNO2

A crystal of CrBrNO2 relaxed with PBEsol (meta-GGA SCAN, Alexandria).

abc: 3.5305 3.5305 4.3861
angles: 90.00 90.00 90.00
With the nearest neighbours (Å) after each atom.
Positions (direct):
Cr: 0.0000 0.0000 0.0000  4 O 1.77
Br: 0.5000 0.5000 0.5000  4 N 2.50
N: 0.0000 0.0000 0.5000  2 Cr 2.19
O: 0.0000 0.5000 0.0000  2 Cr 1.77
O: 0.5000 0.0000 0.0000  2 Cr 1.77

- Total magnetization: 0.0 μB per formula unit
- DOS at the Fermi energy: 1.9 states/eV/cell
- Formation energy without anion corrections: -0.10 eV per atom

---

[11]
# Na3SiNi

A crystal of Na3SiNi relaxed with PBEsol (meta-GGA SCAN, Alexandria).

abc: 5.4276 5.4276 5.4276
angles: 90.00 90.00 90.00
With the nearest neighbours (Å) after each atom.
Positions (direct):
Na: 0.0000 0.0000 0.5000  2 Si 2.71
Na: 0.0000 0.5000 0.0000  2 Si 2.71
Na: 0.5000 0.0000 0.0000  2 Si 2.71
Si: 0.0000 0.0000 0.0000  6 Na 2.71
Ni: 0.5000 0.5000 0.5000  12 Na 3.84

- Total magnetization: 3.0 μB per formula unit
- DOS at the Fermi energy: 9.5 states/eV/cell
- Formation energy without anion corrections: 1.00 eV per atom

---

[12]
# Sc2SbAs

A crystal of Sc2SbAs relaxed with PBEsol (meta-GGA SCAN, Alexandria).

abc: 4.1658 3.8068 10.8534
angles: 90.00 90.00 90.00
With the nearest neighbours (Å) after each atom.
Positions (direct):
Sc: 0.0000 0.0000 0.0000  4 As 2.82, 1 Sb 2.90
Sc: 0.0000 0.5000 0.5000  4 As 2.82, 1 Sb 2.90
Sc: 0.5000 0.0000 0.2499  1 As 2.68, 4 Sb 2.83
Sc: 0.5000 0.5000 0.7499  1 As 2.68, 4 Sb 2.83
Sb: 0.0000 0.0000 0.7328  7 Sc 2.83-3.16
Sb: 0.0000 0.5000 0.2328  7 Sc 2.83-3.16
As: 0.5000 0.0000 0.4970  5 Sc 2.68-2.82
As: 0.5000 0.5000 0.9970  5 Sc 2.68-2.82

- Total magnetization: 0.0 μB per formula unit
- DOS at the Fermi energy: 1.5 states/eV/cell
- Formation energy without anion corrections: -1.02 eV per atom